{"formula": "Cu6BiSe6", "functional": "PBEsol", "state": "optimized geometry", "lattice": [[3.943, 0.000, 0.000], [0.000, 9.448, 0.000], [0.000, 0.000, 26.732]], "species": ["Cu", "Cu", "Cu", "Cu", "Cu", "Cu", "Cu", "Cu", "Cu", "Cu", "Cu", "Cu", "Cu", "Cu", "Cu", "Cu", "Cu", "Cu", "Cu", "Cu", "Cu", "Cu", "Cu", "Cu", "Se", "Se", "Se", "Se", "Se", "Se", "Se", "Se", "Se", "Se", "Se", "Se", "Se", "Se", "Se", "Se", "Se", "Se", "Se", "Se", "Se", "Se", "Se", "Se", "Bi", "Bi", "Bi", "Bi"], "frac_coords": [[0.750, 0.917, 0.505], [0.250, 0.658, 0.239], [0.250, 0.781, 0.552], [0.250, 0.281, 0.948], [0.250, 0.686, 0.714], [0.750, 0.314, 0.286], [0.750, 0.927, 0.978], [0.750, 0.427, 0.522], [0.250, 0.158, 0.261], [0.250, 0.032, 0.115], [0.750, 0.814, 0.214], [0.750, 0.417, 0.995], [0.750, 0.342, 0.761], [0.750, 0.842, 0.739], [0.750, 0.219, 0.448], [0.250, 0.573, 0.478], [0.250, 0.186, 0.786], [0.750, 0.719, 0.052], [0.250, 0.532, 0.385], [0.250, 0.083, 0.495], [0.750, 0.468, 0.615], [0.750, 0.968, 0.885], [0.250, 0.073, 0.022], [0.250, 0.583, 0.005], [0.250, 0.983, 0.732], [0.250, 0.483, 0.768], [0.250, 0.832, 0.462], [0.250, 0.636, 0.099], [0.250, 0.216, 0.173], [0.750, 0.364, 0.901], [0.750, 0.784, 0.827], [0.250, 0.526, 0.566], [0.250, 0.332, 0.038], [0.250, 0.136, 0.401], [0.250, 0.823, 0.166], [0.750, 0.284, 0.673], [0.750, 0.474, 0.434], [0.250, 0.716, 0.327], [0.750, 0.517, 0.232], [0.750, 0.668, 0.962], [0.750, 0.974, 0.066], [0.750, 0.677, 0.666], [0.750, 0.864, 0.599], [0.250, 0.323, 0.334], [0.750, 0.177, 0.834], [0.250, 0.026, 0.934], [0.750, 0.168, 0.538], [0.750, 0.017, 0.268], [0.250, 0.100, 0.637], [0.750, 0.900, 0.363], [0.250, 0.600, 0.863], [0.750, 0.400, 0.137]], "e_form_raw_ev_per_atom": -0.155, "density_g_cm3": 7.1, "volume_a3_per_atom": 19.1, "space_group": "No. 62"}